VASP calculation (PBE-GGA) on a geometry-optimized ZrInMo structure.

Results
* N(E_F): 1.3807 states/eV/atom
* energy relative to the lowest polymorph listed for this composition: 983 meV/atom
* formation enthalpy at 0 K: 0.99 eV per atom
* crystal system: cubic

The structure in CIF format:
```
data_ZrInMo
_space_group_name_H-M_alt 'F -4 3 m'
_space_group_IT_number 216
_space_group_name_Hall 'F -4 2 3'
_cell_length_a 6.631
_cell_length_b 6.631
_cell_length_c 6.631
_cell_angle_alpha 90.00
_cell_angle_beta 90.00
_cell_angle_gamma 90.00
loop_
_atom_site_label
_atom_site_fract_x
_atom_site_fract_y
_atom_site_fract_z
_atom_site_occupancy
Zr1 0.000 0.000 0.000 1
In1 0.250 0.250 0.250 1
Mo1 0.250 0.250 0.750 1
```